Here is BaLi2ScSn after structural relaxation from the Alexandria database. Energies are from PBE.

Calculated values
symmetry = P4/mmm
spin magnetization = 0.093 μB per atom
energy relative to the elements = -26 kJ/mol of formula units

a = 5.3171 Å, b = 5.3171 Å, c = 5.6424 Å
α = 90.00°, β = 90.00°, γ = 90.00°
Each line ends with the local moment (μB).
Fractional positions:
Sc: 0.0000 0.0000 0.5000  0.20
Li: 0.0000 0.5000 0.0000  0.00
Li: 0.5000 0.0000 0.0000  0.00
Ba: 0.5000 0.5000 0.5000  0.04
Sn: 0.0000 0.0000 0.0000  0.01